No. 1
Here is crystalline AsHW2 at its relaxed geometry from the Alexandria database. Energies are from PBE-GGA.

abc: 4.8728 4.8728 9.9738
angles: 90.00 90.00 90.00
Fractional positions:
As 0.0000 0.0000 0.0000
As 0.0000 0.5000 0.2500
As 0.5000 0.0000 0.7500
As 0.5000 0.5000 0.5000
H 0.0000 0.0000 0.5000
H 0.0000 0.5000 0.7500
H 0.5000 0.0000 0.2500
H 0.5000 0.5000 0.0000
W 0.1239 0.2500 0.6250
W 0.2500 0.6239 0.8750
W 0.2500 0.8761 0.3750
W 0.3761 0.2500 0.1250
W 0.6239 0.7500 0.1250
W 0.7500 0.1239 0.3750
W 0.7500 0.3761 0.8750
W 0.8761 0.7500 0.6250

## Properties
Its total energy is -31.04 eV/f.u. The density of states at the Fermi level comes out at 0.80 states/eV/atom. The calculated density comes out at 12.44 Mg/m³. The distance to the lowest polymorph of the same formula comes out at 0 meV per atom. Its volume is 14.80 Å³ per atom.

No. 2
Here is crystalline Ti5Zn2Si at its relaxed geometry from the Alexandria database. Energies are from PBE-GGA.

abc: 7.3618 7.3618 7.3618
angles: 125.04 125.04 81.48
Fractional positions:
Ti 0.0000 0.0000 0.0000
Ti 0.0017 0.5017 0.8229
Ti 0.1788 0.0017 0.5000
Ti 0.3212 0.8212 0.8229
Ti 0.4983 0.3212 0.5000
Ti 0.5000 0.5000 0.0000
Ti 0.5017 0.6788 0.5000
Ti 0.6788 0.1788 0.1771
Ti 0.8212 0.9983 0.5000
Ti 0.9983 0.4983 0.1771
Zn 0.1336 0.3664 0.5000
Zn 0.3664 0.8664 0.2329
Zn 0.6336 0.1336 0.7671
Zn 0.8664 0.6336 0.5000
Si 0.2500 0.2500 0.0000
Si 0.7500 0.7500 0.0000

## Properties
For the raw formation energy, the calculation gives -0.247 eV/atom. Its total energy is -49.42 eV/f.u. The density of states at the Fermi level comes out at 0.98 states/eV/atom. The calculated density comes out at 5.14 Mg/m³. Its volume is 16.09 Å³ per atom.

No. 3
Here is crystalline Ac8Nd3Sm3 at its relaxed geometry from the Alexandria database. Energies are from PBE-GGA.

abc: 9.7225 9.7225 6.4007
angles: 100.90 100.90 89.81
Fractional positions:
Ac 0.1110 0.6291 0.9450
Ac 0.2198 0.4794 0.4405
Ac 0.3709 0.8890 0.0550
Ac 0.4794 0.2198 0.4405
Ac 0.5206 0.7802 0.5595
Ac 0.6291 0.1110 0.9450
Ac 0.7802 0.5206 0.5595
Ac 0.8890 0.3709 0.0550
Nd 0.2297 0.2297 0.8522
Nd 0.5000 0.5000 0.0000
Nd 0.7703 0.7703 0.1478
Sm 0.0000 0.0000 0.0000
Sm 0.1335 0.8665 0.5000
Sm 0.8665 0.1335 0.5000

## Properties
Its total energy is -58.44 eV/f.u. The density of states at the Fermi level comes out at 1.49 states/eV/atom. The calculated density comes out at 7.69 Mg/m³. Its volume is 41.65 Å³ per atom.